(1)
Ba2Cd5Sn4 (PBE, relaxed); ρ = 6.4 g/cm3; energy of formation = -0.2214 eV per atom; space-group type = Fmmm (69); calculated total energy = -2.44 eV/atom; volume = 342 Å³/cell; total magnetization = 0.000 μB/f.u.
1.0
6.919 0.000 0.000
3.460 5.625 0.000
3.460 0.000 8.783
Sn Cd Ba
4 5 2
Direct
0.507 0.270 0.716
0.223 0.270 0.284
0.493 0.730 0.284
0.777 0.730 0.716
0.000 0.500 0.000
0.750 0.500 0.500
0.250 0.500 0.500
0.500 0.000 0.000
0.500 0.500 0.000
0.142 0.000 0.717
0.858 0.000 0.283

***

(2)
Hf5FeSn (PBE, relaxed); ρ = 12.2 g/cm3; energy of formation = -0.1056 eV per atom; space-group type = C2/c (15); calculated total energy = -9.00 eV/atom; volume = 291 Å³/cell; total magnetization = 0.001 μB/f.u.
1.0
7.329 -0.716 -1.074
1.647 7.178 -1.074
2.122 1.528 4.903
Hf Sn Fe
10 2 2
Direct
0.236 0.764 0.750
0.647 0.836 0.427
0.353 0.164 0.573
0.836 0.647 0.927
0.164 0.353 0.073
0.689 0.036 0.832
0.764 0.236 0.250
0.036 0.689 0.332
0.311 0.964 0.168
0.964 0.311 0.668
0.560 0.440 0.750
0.440 0.560 0.250
0.000 0.000 0.500
0.000 0.000 0.000